# 1
Computed, not measured: a relaxed Cs2LiBi crystal at the PBE level of DFT.

Cell: 6.5421 6.5421 6.5421 Å, 60.00 60.00 60.00°
Last column: nearest neighbours and their distance in Å.
Fractional coordinates of all 4 atoms:
1 Cs 0.2500 0.2500 0.2500  4 Bi 4.01, 4 Li 4.01
2 Cs 0.7500 0.7500 0.7500  4 Bi 4.01, 4 Li 4.01
3 Li 0.0000 0.0000 0.0000  8 Cs 4.01
4 Bi 0.5000 0.5000 0.5000  8 Cs 4.01

Calculated values
Calculated formation energy ... -40 meV/atom
Size of the total moment ... 0.0 μB/f.u.
SG ... Fm-3m (225)

---

# 2
Computed, not measured: a relaxed Y9Tm4Pu crystal at the PBE level of DFT.

Cell: 11.0143 9.7084 9.7084 Å, 120.00 90.00 90.00°
Last column: nearest neighbours and their distance in Å.
Fractional coordinates of all 28 atoms:
1 Y 0.4657 0.7909 0.5818  1 Pu 3.16, 2 Tm 3.54
2 Y 0.2500 0.4628 0.5372  2 Tm 3.25, 1 Pu 3.43
3 Y 0.2500 0.4628 0.9255  2 Tm 3.25, 1 Pu 3.43
4 Y 0.0343 0.7909 0.5818  1 Pu 3.16, 2 Tm 3.54
5 Y 0.7500 0.5372 0.0745  2 Tm 3.25, 1 Pu 3.43
6 Y 0.0343 0.4182 0.2091  1 Pu 3.16, 2 Tm 3.54
7 Y 0.5343 0.5818 0.7909  1 Pu 3.16, 2 Tm 3.54
8 Y 0.4657 0.4182 0.2091  1 Pu 3.16, 2 Tm 3.54
9 Y 0.2500 0.0745 0.5372  2 Tm 3.25, 1 Pu 3.43
10 Y 0.9657 0.2091 0.7909  1 Pu 3.16, 2 Tm 3.54
11 Y 0.0343 0.7909 0.2091  1 Pu 3.16, 2 Tm 3.54
12 Y 0.7500 0.5372 0.4628  2 Tm 3.25, 1 Pu 3.43
13 Y 0.5343 0.2091 0.4182  1 Pu 3.16, 2 Tm 3.54
14 Y 0.9657 0.2091 0.4182  1 Pu 3.16, 2 Tm 3.54
15 Y 0.5343 0.2091 0.7909  1 Pu 3.16, 2 Tm 3.54
16 Y 0.9657 0.5818 0.7909  1 Pu 3.16, 2 Tm 3.54
17 Y 0.4657 0.7909 0.2091  1 Pu 3.16, 2 Tm 3.54
18 Y 0.7500 0.9255 0.4628  2 Tm 3.25, 1 Pu 3.43
19 Tm 0.7500 0.2222 0.1111  4 Tm 3.24-3.33, 4 Y 3.25-3.54
20 Tm 0.2500 0.1111 0.2222  4 Tm 3.24-3.33, 4 Y 3.25-3.54
21 Tm 0.5000 0.0000 0.0000  6 Tm 3.33, 6 Y 3.54
22 Tm 0.7500 0.8889 0.7778  4 Tm 3.24-3.33, 4 Y 3.25-3.54
23 Tm 0.2500 0.7778 0.8889  4 Tm 3.24-3.33, 4 Y 3.25-3.54
24 Tm 0.7500 0.8889 0.1111  4 Tm 3.24-3.33, 4 Y 3.25-3.54
25 Tm 0.2500 0.1111 0.8889  4 Tm 3.24-3.33, 4 Y 3.25-3.54
26 Tm 0.0000 0.0000 0.0000  6 Tm 3.33, 6 Y 3.54
27 Pu 0.7500 0.3333 0.6667  9 Y 3.16-3.43
28 Pu 0.2500 0.6667 0.3333  9 Y 3.16-3.43

Calculated values
Calculated formation energy ... 167 meV/atom
Size of the total moment ... 5.1 μB/f.u.
SG ... P6_3/mmc (194)

---

# 3
Computed, not measured: a relaxed CdPI2N crystal at the PBE level of DFT.

Cell: 5.9052 5.9052 4.0565 Å, 90.00 90.00 90.00°
Last column: nearest neighbours and their distance in Å.
Fractional coordinates of all 5 atoms:
1 I 0.0000 0.5000 0.0000  2 Cd 2.95
2 I 0.5000 0.0000 0.0000  2 Cd 2.95
3 Cd 0.0000 0.0000 0.0000  2 N 2.03
4 P 0.5000 0.5000 0.5000  8 I 3.58
5 N 0.0000 0.0000 0.5000  2 Cd 2.03

Calculated values
Formation energy without anion corrections ... 1.43 eV per atom
Size of the total moment ... 0.0 μB/f.u.
SG ... P4/mmm (123)

---

# 4
Computed, not measured: a relaxed ErGa2SbO8 crystal at the PBE level of DFT.

Cell: 5.8248 5.8248 5.8248 Å, 108.66 108.66 111.10°
Last column: nearest neighbours and their distance in Å.
Fractional coordinates of all 12 atoms:
1 Ga 0.7500 0.2500 0.5000  4 O 1.84
2 Ga 0.5000 0.5000 0.0000  4 O 1.86
3 Er 0.0000 0.0000 0.0000  8 O 2.21-2.43
4 O 0.4942 0.6936 0.8006  1 Ga 1.86, 1 Sb 2.08
5 O 0.8930 0.6936 0.1994  1 Ga 1.86, 1 Sb 2.08
6 O 0.9606 0.2839 0.3233  1 Ga 1.84
7 O 0.9606 0.6373 0.6767  1 Ga 1.84
8 O 0.3064 0.1070 0.8006  1 Ga 1.86, 1 Sb 2.08
9 O 0.3627 0.0394 0.3233  1 Ga 1.84
10 O 0.3064 0.5058 0.1994  1 Ga 1.86, 1 Sb 2.08
11 O 0.7161 0.0394 0.6767  1 Ga 1.84
12 Sb 0.2500 0.7500 0.5000  8 O 2.08-2.25

Calculated values
Formation energy without anion corrections ... -1.60 eV per atom
Size of the total moment ... 2.1 μB/f.u.
SG ... I-4m2 (119)

---

# 5
Computed, not measured: a relaxed LaFeS2Cl crystal at the PBE level of DFT.

Cell: 4.6527 4.6527 4.5737 Å, 90.00 90.00 90.00°
Last column: nearest neighbours and their distance in Å.
Fractional coordinates of all 5 atoms:
1 Fe 0.0000 0.0000 0.0000  2 Cl 2.29, 4 S 2.33
2 S 0.0000 0.5000 0.0000  2 Fe 2.33
3 S 0.5000 0.0000 0.0000  2 Fe 2.33
4 Cl 0.0000 0.0000 0.5000  2 Fe 2.29
5 La 0.5000 0.5000 0.5000  8 S 3.26, 4 Cl 3.29

Calculated values
Formation energy without anion corrections ... -1.10 eV per atom
Size of the total moment ... 2.6 μB/f.u.
SG ... P4/mmm (123)

---

# 6
Computed, not measured: a relaxed CuIrOs3 crystal at the PBE level of DFT.

Cell: 4.3570 4.3570 4.3570 Å, 90.00 90.00 90.00°
Last column: nearest neighbours and their distance in Å.
Fractional coordinates of all 5 atoms:
1 Os 0.5000 0.0000 0.0000  2 Cu 2.18
2 Os 0.0000 0.0000 0.5000  2 Cu 2.18
3 Os 0.0000 0.5000 0.0000  2 Cu 2.18
4 Ir 0.5000 0.5000 0.5000  12 Os 3.08
5 Cu 0.0000 0.0000 0.0000  6 Os 2.18

Calculated values
Calculated formation energy ... 2158 meV/atom
Size of the total moment ... 0.0 μB/f.u.
SG ... Pm-3m (221)

---

What is the formula in the sixth record?
CuIrOs3